## w
Cd5Co3 | PBE | optimized geometry

Summary:
magnetization: 4.65 μB per formula unit
crystal system: triclinic

a = 5.719 Å, b = 7.127 Å, c = 7.233 Å
α = 75.28°, β = 78.78°, γ = 80.16°
Space group P-1 (No. 2)
Unique sites:
Cd (0.044, 0.321, 0.369) x2
Cd (0.236, 0.252, 0.748) x2
Cd (0.249, 0.541, 0.965) x2
Cd (0.260, 0.749, 0.261) x2
Cd (0.453, 0.130, 0.154) x2
Co (0.029, 0.914, 0.876) x2
Co (0.290, 0.948, 0.551) x2
Co (0.480, 0.620, 0.592) x2



## x
Cd5Co3 | PBE | optimized geometry

Summary:
magnetization: 3.94 μB per formula unit
crystal system: hexagonal

a = 7.7983 Å, b = 7.7983 Å, c = 5.3033 Å
α = 90.00°, β = 90.00°, γ = 120.00°
Space group P6_3/mcm (No. 193)
Unique sites:
Cd (0.0000, 0.2394, 0.2500) x6
Cd (0.3333, 0.6667, 0.0000) x4
Co (0.0000, 0.4069, 0.7500) x6



Which of them is the most stable? Correct choice: w.